AgSnSeF: optimized geometry, PBE-GGA.

Unit cell a=4.0857 b=4.0857 c=9.3165 alpha=90.00 beta=90.00 gamma=90.00
Closest atoms and distances in Å follow each position.
Sites, in units of the cell vectors:
Sn 0.0000 0.5000 0.8413  4 F 2.52
Sn 0.5000 0.0000 0.1587  4 F 2.52
F 0.0000 0.0000 0.0000  4 Sn 2.52
F 0.5000 0.5000 0.0000  4 Sn 2.52
Ag 0.5000 0.5000 0.5000  4 Se 2.78, 4 Ag 2.89
Ag 0.0000 0.0000 0.5000  4 Se 2.78, 4 Ag 2.89
Se 0.0000 0.5000 0.2973  4 Ag 2.78
Se 0.5000 0.0000 0.7027  4 Ag 2.78

Values from the calculation:
Calculated density = 6.93 g/cm³
Symmetry = P4/nmm
Energy = -31.9 eV per cell